[1]
! LaPmSnI GGA-PBE relaxed; values from VASP
! Space-group type   F-43m, No. 216
! N(E_F)   3.91 states/eV per cell
! Spin magnetization   0.0 μB per cell
! V   123 Å³/cell
! Energy relative to the elements, uncorrected   -793.3 meV/atom
&SYSTEM
  ibrav = 0, nat = 4, ntyp = 4
/
ATOMIC_SPECIES
La 138.91 La.upf
Pm 145.00 Pm.upf
Sn 118.71 Sn.upf
I 126.90 I.upf
CELL_PARAMETERS angstrom
0.0000 3.9462 3.9462
3.9462 0.0000 3.9462
3.9462 3.9462 0.0000
ATOMIC_POSITIONS angstrom
La 0.0000 0.0000 0.0000
Pm 3.9462 3.9462 3.9462
Sn 1.9731 1.9731 1.9731
I 5.9192 5.9192 5.9192


[2]
! LaPmTeI GGA-PBE relaxed; values from VASP
! Space-group type   F-43m, No. 216
! N(E_F)   3.83 states/eV per cell
! Spin magnetization   0.0 μB per cell
! V   119 Å³/cell
! Energy relative to the elements, uncorrected   -1167.6 meV/atom
&SYSTEM
  ibrav = 0, nat = 4, ntyp = 4
/
ATOMIC_SPECIES
La 138.91 La.upf
Pm 145.00 Pm.upf
Te 127.60 Te.upf
I 126.90 I.upf
CELL_PARAMETERS angstrom
0.0000 3.9008 3.9008
3.9008 0.0000 3.9008
3.9008 3.9008 0.0000
ATOMIC_POSITIONS angstrom
La 0.0000 0.0000 0.0000
Pm 3.9008 3.9008 3.9008
Te 5.8512 5.8512 5.8512
I 1.9504 1.9504 1.9504


[3]
! LaPrI6 GGA-PBE relaxed; values from VASP
! Space-group type   R-3, No. 148
! N(E_F)   0.00 states/eV per cell
! Spin magnetization   0.0 μB per cell
! V   386 Å³/cell
! Energy relative to the elements, uncorrected   -1412.4 meV/atom
&SYSTEM
  ibrav = 0, nat = 8, ntyp = 3
/
ATOMIC_SPECIES
La 138.91 La.upf
Pr 140.91 Pr.upf
I 126.90 I.upf
CELL_PARAMETERS angstrom
3.9384 2.2738 7.1767
-3.9384 2.2738 7.1767
0.0000 -4.5477 7.1767
ATOMIC_POSITIONS angstrom
La 0.0000 0.0000 0.0000
Pr 0.0000 0.0000 10.7650
I -2.6066 0.0078 8.9794
I -1.3100 -2.2535 12.5507
I 1.2966 -2.2612 8.9794
I -1.2966 2.2612 12.5507
I 1.3100 2.2535 8.9794
I 2.6066 -0.0078 12.5507


[4]
! LaPrI4 GGA-PBE relaxed; values from VASP
! Space-group type   I-4m2, No. 119
! N(E_F)   3.53 states/eV per cell
! Spin magnetization   0.0 μB per cell
! V   250 Å³/cell
! Energy relative to the elements, uncorrected   -1278.6 meV/atom
&SYSTEM
  ibrav = 0, nat = 6, ntyp = 3
/
ATOMIC_SPECIES
La 138.91 La.upf
Pr 140.91 Pr.upf
I 126.90 I.upf
CELL_PARAMETERS angstrom
-3.1809 3.1809 6.1695
3.1809 -3.1809 6.1695
3.1809 3.1809 -6.1695
ATOMIC_POSITIONS angstrom
La 0.0000 0.0000 0.0000
Pr 0.0000 3.1809 3.0847
I 3.1809 0.0000 0.1558
I 0.0000 0.0000 3.2669
I 3.1809 0.0000 6.0137
I 0.0000 0.0000 9.0721


[5]
! La7PrI12 GGA-PBE relaxed; values from VASP
! Space-group type   R-3, No. 148
! N(E_F)   11.05 states/eV per cell
! Spin magnetization   2.9 μB per cell
! V   877 Å³/cell
! Energy relative to the elements, uncorrected   -1151.5 meV/atom
&SYSTEM
  ibrav = 0, nat = 20, ntyp = 3
/
ATOMIC_SPECIES
La 138.91 La.upf
Pr 140.91 Pr.upf
I 126.90 I.upf
CELL_PARAMETERS angstrom
8.3797 4.8380 3.6055
-8.3797 4.8380 3.6055
0.0000 -9.6760 3.6055
ATOMIC_POSITIONS angstrom
La 0.0000 0.0000 0.0000
La -2.3996 -0.6587 3.5266
La 1.7702 -1.7488 3.5266
La 0.6294 2.4074 3.5266
La -0.6294 -2.4074 7.2899
La -1.7702 1.7488 7.2899
La 2.3996 0.6586 7.2899
Pr 0.0000 0.0000 5.4083
I -0.7157 -2.7388 1.6209
I -2.0141 1.9892 1.6209
I -3.1856 -3.2639 5.3522
I -4.4194 1.1268 5.4643
I 2.7297 0.7496 1.6209
I 1.2339 -4.3907 5.4643
I -1.2339 4.3907 5.3522
I -2.7297 -0.7496 9.1956
I 4.4194 -1.1268 5.3522
I 3.1856 3.2639 5.4643
I 2.0141 -1.9892 9.1956
I 0.7157 2.7388 9.1956


[6]
! LaPrI GGA-PBE relaxed; values from VASP
! Space-group type   P3m1, No. 156
! N(E_F)   3.59 states/eV per cell
! Spin magnetization   0.6 μB per cell
! V   111 Å³/cell
! Energy relative to the elements, uncorrected   -571.0 meV/atom
&SYSTEM
  ibrav = 0, nat = 3, ntyp = 3
/
ATOMIC_SPECIES
La 138.91 La.upf
Pr 140.91 Pr.upf
I 126.90 I.upf
CELL_PARAMETERS angstrom
3.9841 0.0000 0.0000
-1.9921 3.4504 0.0000
0.0000 0.0000 8.0383
ATOMIC_POSITIONS angstrom
La 0.0000 0.0000 0.0000
Pr 0.0000 2.3002 5.1352
I 1.9921 1.1501 2.6042


[7]
! LaPrI GGA-PBE relaxed; values from VASP
! Space-group type   Cmcm, No. 63
! N(E_F)   7.18 states/eV per cell
! Spin magnetization   0.0 μB per cell
! V   219 Å³/cell
! Energy relative to the elements, uncorrected   -604.2 meV/atom
&SYSTEM
  ibrav = 0, nat = 6, ntyp = 3
/
ATOMIC_SPECIES
La 138.91 La.upf
Pr 140.91 Pr.upf
I 126.90 I.upf
CELL_PARAMETERS angstrom
1.9856 -8.7997 0.0000
1.9856 8.7997 0.0000
0.0000 0.0000 6.2595
ATOMIC_POSITIONS angstrom
La 1.9856 6.3643 4.6946
La 1.9856 -6.3643 1.5649
Pr 1.9856 0.7178 4.6946
Pr 1.9856 -0.7178 1.5649
I 1.9856 5.3161 1.5649
I 1.9856 -5.3161 4.6946


[8]
! LaPrI2 GGA-PBE relaxed; values from VASP
! Space-group type   P4/mmm, No. 123
! N(E_F)   2.32 states/eV per cell
! Spin magnetization   0.0 μB per cell
! V   123 Å³/cell
! Energy relative to the elements, uncorrected   -887.4 meV/atom
&SYSTEM
  ibrav = 0, nat = 4, ntyp = 3
/
ATOMIC_SPECIES
La 138.91 La.upf
Pr 140.91 Pr.upf
I 126.90 I.upf
CELL_PARAMETERS angstrom
5.5735 0.0000 0.0000
0.0000 5.5735 0.0000
0.0000 0.0000 3.9520
ATOMIC_POSITIONS angstrom
La 0.0000 0.0000 0.0000
Pr 2.7867 2.7867 0.0000
I 0.0000 2.7867 1.9760
I 2.7867 0.0000 1.9760